Entry 1:
Entry from Alexandria via LeMat-Bulk: a relaxed structure of Y2CdCo (PBE).

The structure in POSCAR format:
```
Y2CdCo
1.0
3.823 0.002 0.007
1.927 3.302 0.007
1.870 1.075 7.991
Cd Co Y
1 1 2
direct
0.750 0.750 0.750
0.250 0.250 0.250
0.980 0.980 0.059
0.520 0.520 0.441
```

Calculated values
As for the formation enthalpy at 0 K: -0.1214 eV/atom.

=====

Entry 2:
Entry from Alexandria via LeMat-Bulk: a relaxed structure of YCdCo2 (PBE).

The structure in POSCAR format:
```
YCdCo2
1.0
-2.131 4.093 -0.629
-0.855 1.542 -4.311
-4.371 0.128 -1.604
Cd Co Y
1 2 1
direct
0.500 0.500 0.500
0.000 0.000 0.000
0.250 0.250 0.250
0.750 0.750 0.750
```

Calculated values
As for the formation enthalpy at 0 K: 0.2702 eV/atom.

=====

Entry 3:
Entry from Alexandria via LeMat-Bulk: a relaxed structure of Y2CdCo (PBE).

The structure in POSCAR format:
```
Y2CdCo
1.0
-4.637 0.435 1.595
-2.571 -4.017 1.218
-1.074 -0.898 4.719
Cd Co Y
1 1 2
direct
0.500 0.500 0.500
0.750 0.750 0.750
0.000 0.000 0.000
0.250 0.250 0.250
```

Calculated values
As for the formation enthalpy at 0 K: 0.1165 eV/atom.

=====

Entry 4:
Entry from Alexandria via LeMat-Bulk: a relaxed structure of Y2CdCo (PBE).

The structure in POSCAR format:
```
Y2CdCo
1.0
6.350 0.024 -0.023
5.449 3.261 -0.023
1.901 0.529 4.475
Cd Co Y
1 1 2
direct
0.554 0.554 0.446
0.249 0.249 0.252
0.948 0.948 0.052
0.749 0.749 0.751
```

Calculated values
As for the formation enthalpy at 0 K: -0.0809 eV/atom.

=====

DOS at the Fermi energy values, unit states/eV per atom, following the record order: 0.413; 1.337; 1.322; 0.838.